First-principles (PBE-GGA) data for an optimized crystal structure of Ba2LiMgMo, as listed in the Alexandria database.

a b c (Å): 5.837 5.299 5.837
angles (deg): 90.00 90.00 90.00
Fractional positions:
Mo1 0.000 0.000 0.000
Ba1 0.000 0.000 0.500
Ba2 0.500 0.000 0.000
Li1 0.000 0.500 0.000
Mg1 0.500 0.500 0.500

Computed properties:
* formation energy: 410 kJ/mol of formula units



First-principles (PBE-GGA) data for an optimized crystal structure of LiIn14Bi, as listed in the Alexandria database.

a b c (Å): 6.681 6.681 11.107
angles (deg): 90.00 90.00 119.78
Fractional positions:
In1 0.879 0.625 0.249
In2 0.878 0.122 0.744
In3 0.042 0.460 0.500
In4 0.200 0.290 0.000
In5 0.206 0.794 0.000
In6 0.374 0.626 0.245
Bi1 0.541 0.459 0.500
In7 0.710 0.800 0.000
In8 0.375 0.121 0.751
In9 0.707 0.293 0.000
In10 0.374 0.626 0.755
In11 0.375 0.121 0.249
Li1 0.042 0.958 0.500
In12 0.540 0.958 0.500
In13 0.879 0.625 0.751
In14 0.878 0.122 0.256

Computed properties:
* formation energy: -25 kJ/mol of formula units



First-principles (PBE-GGA) data for an optimized crystal structure of TbHo14Hf, as listed in the Alexandria database.

a b c (Å): 7.000 7.000 9.874
angles (deg): 90.00 90.00 90.00
Fractional positions:
Ho1 0.120 0.880 0.245
Ho2 0.630 0.880 0.245
Ho3 0.875 0.125 0.500
Ho4 0.875 0.625 0.500
Ho5 0.375 0.125 0.500
Ho6 0.630 0.370 0.755
Tb1 0.375 0.625 0.000
Ho7 0.120 0.880 0.755
Ho8 0.120 0.370 0.245
Ho9 0.120 0.370 0.755
Hf1 0.875 0.125 0.000
Ho10 0.875 0.625 0.000
Ho11 0.375 0.125 0.000
Ho12 0.630 0.370 0.245
Ho13 0.630 0.880 0.755
Ho14 0.375 0.625 0.500

Computed properties:
* formation energy: 73 kJ/mol of formula units



First-principles (PBE-GGA) data for an optimized crystal structure of FeAgAs2, as listed in the Alexandria database.

a b c (Å): 2.836 3.570 7.455
angles (deg): 90.00 90.00 90.00
Fractional positions:
As1 0.000 0.000 0.993
Fe1 0.000 0.000 0.303
Ag1 0.500 0.500 0.778
As2 0.500 0.500 0.426

Computed properties:
* polymorph energy (0 for the lowest one): 136 meV per atom
* formation energy: 71 kJ/mol of formula units